Entry 1:
ThTiTl | PBE | optimized geometry

Cell and atoms, written as POSCAR:
```
ThTiTl
1.0
5.0949 0.0000 0.0000
-2.5475 4.4123 0.0000
0.0000 0.0000 3.4897
Th Ti Tl
1 1 1
Direct
0.0000 0.0000 0.0000
0.6667 0.3333 0.5000
0.3333 0.6667 0.5000
```

Its total energy is -0.4195 Ry per atom. Its energy above the most stable polymorph in this dataset is 0.103 eV/f.u. Its space group is P-6m2. The value obtained for the formation energy is 0.186 eV per atom.

***

Entry 2:
Rb2PdPbCl6 | PBE | optimized geometry

Cell and atoms, written as POSCAR:
```
Rb2PdPbCl6
1.0
7.4374 0.0000 0.0000
-0.0099 7.4403 0.0000
-3.7186 -3.7055 5.4050
Rb Pd Pb Cl
2 1 1 6
Direct
0.2490 0.2533 0.0001
0.7510 0.7467 0.9999
0.0000 0.5000 0.5000
0.5000 0.0000 0.5000
0.1923 0.7880 0.5122
0.2331 0.7317 0.9785
0.2827 0.3127 0.4995
0.7173 0.6873 0.5005
0.7669 0.2683 0.0215
0.8077 0.2120 0.4878
```

Its total energy is -0.2516 Ry per atom. Its space group is P-1. The formation energy without anion corrections is -1.231 eV per atom.

***

Entry 3:
KNpTlF6 | PBE | optimized geometry

Cell and atoms, written as POSCAR:
```
KNpTlF6
1.0
6.7328 0.0000 0.0000
-3.3664 5.8307 0.0000
0.0000 0.0000 10.1035
K Np Tl F
2 2 2 12
Direct
0.3333 0.6667 0.2500
0.6667 0.3333 0.7500
0.3333 0.6667 0.7500
0.6667 0.3333 0.2500
0.0000 0.0000 0.0000
0.0000 0.0000 0.5000
0.0581 0.3957 0.6350
0.0581 0.6624 0.8650
0.3376 0.3957 0.8650
0.3376 0.9419 0.6350
0.3957 0.0581 0.1350
0.3957 0.3376 0.3650
0.6043 0.6624 0.6350
0.6043 0.9419 0.8650
0.6624 0.0581 0.3650
0.6624 0.6043 0.1350
0.9419 0.3376 0.1350
0.9419 0.6043 0.3650
```

Its total energy is -0.4463 Ry per atom. Its space group is P-31c. The formation energy without anion corrections is -3.003 eV per atom.

***

Entry 4:
ZrUPa | PBE | optimized geometry

Cell and atoms, written as POSCAR:
```
ZrUPa
1.0
-1.7921 1.7921 5.3199
1.7921 -1.7921 5.3199
1.7921 1.7921 -5.3199
Zr U Pa
1 1 1
Direct
0.0000 0.0000 0.0000
0.6724 0.6724 0.0000
0.3101 0.3101 0.0000
```

Its total energy is -0.7051 Ry per atom. Its energy above the most stable polymorph in this dataset is 0.230 eV/f.u. Its space group is I4mm. The value obtained for the formation energy is 0.185 eV per atom.

***

Entry 5:
Th2Mg2Pt3 | PBE | optimized geometry

Cell and atoms, written as POSCAR:
```
Th2Mg2Pt3
1.0
7.6750 -2.0311 0.0000
7.6750 2.0311 0.0000
-6.9903 0.0000 10.3707
Th Mg Pt
4 4 6
Direct
0.1105 0.1105 0.4571
0.2290 0.2290 0.8252
0.7710 0.7710 0.1748
0.8895 0.8895 0.5429
0.0786 0.0786 0.1506
0.4509 0.4509 0.1796
0.5491 0.5491 0.8204
0.9214 0.9214 0.8494
0.1358 0.1358 0.9842
0.3345 0.3345 0.6716
0.4161 0.4161 0.3692
0.5839 0.5839 0.6308
0.6655 0.6655 0.3284
0.8642 0.8642 0.0158
```

Its total energy is -0.4480 Ry per atom. Its space group is C2/m. The value obtained for the formation energy is -0.931 eV per atom.

***

Entry 6:
CrRh3W | PBE | optimized geometry

Cell and atoms, written as POSCAR:
```
CrRh3W
1.0
4.6866 0.0000 0.0000
0.0000 4.6866 0.0000
0.0000 0.0000 4.6866
Cr Rh W
1 3 1
Direct
0.0000 0.0000 0.0000
0.0000 0.5000 0.5000
0.5000 0.0000 0.5000
0.5000 0.5000 0.0000
0.5000 0.5000 0.5000
```

Its total energy is -0.5693 Ry per atom. Its energy above the most stable polymorph in this dataset is 4.121 eV/f.u. Its space group is Pm-3m. The value obtained for the formation energy is 1.180 eV per atom.